No. 1
Compound: Be4ReAg
Source: the Alexandria database
Functional: GGA-PBE
Structure: optimized geometry

Geometry as extended XYZ:
```
6
Lattice="0.000 3.162 3.162 3.162 0.000 3.162 3.162 3.162 0.000" Properties=species:S:1:pos:R:3 pbc="T T T"
Re 4.743 4.743 4.743
Be 3.932 2.391 3.932
Be 2.391 3.932 3.932
Be 2.391 2.391 2.391
Be 3.932 3.932 2.391
Ag 0.000 0.000 0.000
```

Computed properties:
- energy of formation from the pure elements (kcal/mol of atoms) = 3.06
- space-group type = F-43m, No. 216

=====

No. 2
Compound: Ta8Re
Source: the Alexandria database
Functional: GGA-PBE
Structure: optimized geometry

Geometry as extended XYZ:
```
9
Lattice="3.260 0.000 0.000 1.630 7.008 0.000 1.630 0.000 7.008" Properties=species:S:1:pos:R:3 pbc="T T T"
Ta 1.630 0.000 2.277
Ta 1.630 2.341 4.668
Ta 3.260 4.731 0.000
Ta 1.630 2.277 0.000
Ta 1.630 4.668 2.341
Ta 3.260 0.000 4.731
Ta 3.260 2.341 2.341
Ta 3.260 4.668 4.668
Re 0.000 0.000 0.000
```

Computed properties:
- relative energy among the computed polymorphs (meV/atom) = 0.0
- energy of formation from the pure elements (kcal/mol of atoms) = -2.48
- space-group type = I4/mmm, No. 139

=====

No. 3
Compound: Sc2CuGe2
Source: the Alexandria database
Functional: GGA-PBE
Structure: optimized geometry

Geometry as extended XYZ:
```
10
Lattice="4.089 0.000 0.000 2.044 5.046 -0.051 2.044 0.667 8.575" Properties=species:S:1:pos:R:3 pbc="T T T"
Sc 6.133 4.307 7.682
Sc 2.044 1.406 0.842
Sc 4.089 3.646 2.754
Sc 4.089 2.067 5.771
Ge 6.133 3.988 4.876
Ge 2.044 4.223 0.951
Ge 2.044 1.725 3.648
Ge 6.133 1.489 7.573
Cu 4.089 5.057 5.521
Cu 4.089 0.655 3.003
```

Computed properties:
- relative energy among the computed polymorphs (meV/atom) = 0.0
- energy of formation from the pure elements (kcal/mol of atoms) = -15.77
- space-group type = C2/m, No. 12

=====

No. 4
Compound: Rb2BaZrBr6
Source: the Alexandria database
Functional: GGA-PBE
Structure: optimized geometry

Geometry as extended XYZ:
```
10
Lattice="8.351 0.000 0.000 0.000 8.351 0.000 4.176 4.176 5.905" Properties=species:S:1:pos:R:3 pbc="T T T"
Br 6.130 6.130 0.000
Br 2.222 2.222 0.000
Br 2.222 6.130 0.000
Br 8.351 8.351 3.142
Br 4.176 4.176 2.763
Br 6.130 2.222 0.000
Rb 4.176 8.351 2.953
Rb 8.351 4.176 2.953
Ba 0.000 0.000 0.000
Zr 4.176 4.176 0.000
```

Computed properties:
- space-group type = Fm-3m, No. 225
- raw formation energy (eV per formula unit) = -15.45

=====

No. 5
Compound: Pr2Ni2Au
Source: the Alexandria database
Functional: GGA-PBE
Structure: optimized geometry

Geometry as extended XYZ:
```
5
Lattice="-0.690 0.336 -3.777 1.138 -3.763 -0.543 -7.150 -0.255 1.284" Properties=species:S:1:pos:R:3 pbc="T T T"
Au 0.000 0.000 0.000
Pr -5.204 -1.409 -1.141
Pr -1.498 -2.272 -1.895
Ni -3.388 -3.166 0.337
Ni -2.624 -0.852 0.404
```

Computed properties:
- relative energy among the computed polymorphs (meV/atom) = 0.0
- energy of formation from the pure elements (kcal/mol of atoms) = -11.51
- space-group type = Cmmm, No. 65

=====

No. 6
Compound: ZnCdPb2
Source: the Alexandria database
Functional: GGA-PBE
Structure: optimized geometry

Geometry as extended XYZ:
```
4
Lattice="-3.567 4.893 1.420 -5.828 -0.126 -2.170 4.255 -2.747 3.611" Properties=species:S:1:pos:R:3 pbc="T T T"
Pb -1.758 2.140 2.347
Pb -0.079 0.040 -0.006
Zn -4.586 2.327 -0.366
Cd -3.414 -0.103 0.511
```

Computed properties:
- relative energy among the computed polymorphs (meV/atom) = 28.6
- energy of formation from the pure elements (kcal/mol of atoms) = 2.47
- space-group type = Imm2, No. 44

=====

Total DFT energy (no corrections) / eV/atom: -4.90, -12.03, -5.88, -3.79, -5.38, -2.29
Magnetization / μB per cell: 0.00, 0.00, 0.00, 2.00, 0.00, 0.00